A plane-wave DFT calculation with PBE-GGA was carried out for a geometry-optimized LiPm3Th2Se6 structure.

Results
Formation energy without anion corrections: -1685 meV per atom
Crystal system: monoclinic
Total energy: -144.3 eV per cell

Cell lengths 7.201, 12.575, 7.193 Å; angles 90.00, 109.89, 90.00 degrees
Space group C2/m (No. 12)
Unique sites:
Li  0.000  0.000  0.000 x2
Pm  0.000  0.170  0.500 x4
Pm  0.000  0.500  0.500 x2
Th  0.000  0.334  0.000 x4
Se  0.237  0.000  0.757 x4
Se  0.239  0.159  0.241 x8